1.
Entry from Alexandria: a PBEsol-optimized structure of AlCdSe2 (meta-GGA SCAN).

Cell: 3.6632 5.1801 9.0259 Å, 90.00 90.00 90.00°
With the nearest neighbours (Å) after each atom.
Space group Cmm2 (No. 35)
One atom of each set of equivalent atoms:
Al (0.0000, 0.0000, 0.0000) (multiplicity 2)  2 Se 2.44
Cd (0.0000, 0.5000, 0.7509) (multiplicity 2)  2 Se 2.77, 2 Al 2.90
Se (0.0000, 0.0000, 0.5201) (multiplicity 2)  2 Cd 2.77
Se (0.0000, 0.5000, 0.1787) (multiplicity 2)  2 Al 2.44

Summary:
E_form (uncorrected): 0.035 eV/atom
total magnetic moment: 0.000 μB per cell
energy above the lowest structure with this stoichiometry: 564 meV/atom
total DFT energy (no corrections): -156.37 eV per cell
D(E_F): 0.452 states/eV per atom


2.
Entry from Alexandria: a PBEsol-optimized structure of CuMoAu (meta-GGA SCAN).

Cell: 5.9459 5.9459 5.9459 Å, 90.00 90.00 90.00°
With the nearest neighbours (Å) after each atom.
Space group F-43m (No. 216)
One atom of each set of equivalent atoms:
Cu (0.0000, 0.0000, 0.0000) (multiplicity 4)  4 Mo 2.57
Mo (0.2500, 0.2500, 0.7500) (multiplicity 4)  4 Cu 2.57, 4 Au 2.57
Au (0.0000, 0.0000, 0.5000) (multiplicity 4)  4 Mo 2.57

Summary:
total magnetic moment: 0.000 μB per cell
total DFT energy (no corrections): -466.84 eV per cell
D(E_F): 0.068 states/eV per atom


3.
Entry from Alexandria: a PBEsol-optimized structure of SrLi2Ca (meta-GGA SCAN).

Cell: 5.0407 4.2553 12.7498 Å, 90.00 90.00 90.00°
With the nearest neighbours (Å) after each atom.
Space group Amm2 (No. 38)
One atom of each set of equivalent atoms:
Sr (0.0000, 0.0000, 0.0000) (multiplicity 2)  7 Li 3.49-3.56
Li (0.0000, 0.0000, 0.7240) (multiplicity 2)  2 Li 3.04
Li (0.5000, 0.0000, 0.5906) (multiplicity 2)  2 Li 3.04
Ca (0.5000, 0.0000, 0.3017) (multiplicity 2)  7 Li 3.43-3.68

Summary:
total magnetic moment: 0.296 μB per cell
energy above the lowest structure with this stoichiometry: 16 meV/atom
total DFT energy (no corrections): -73.22 eV per cell
D(E_F): 0.704 states/eV per atom


4.
Entry from Alexandria: a PBEsol-optimized structure of MgOs3 (meta-GGA SCAN).

Cell: 2.7368 3.8823 5.4277 Å, 90.00 90.00 90.00°
With the nearest neighbours (Å) after each atom.
Space group Pmmm (No. 47)
One atom of each set of equivalent atoms:
Mg (0.0000, 0.0000, 0.0000) (multiplicity 1)  10 Os 2.71-2.76, 2 Mg 2.74
Os (0.0000, 0.0000, 0.5000) (multiplicity 1)  2 Mg 2.71, 10 Os 2.72-2.74
Os (0.5000, 0.5000, 0.2576) (multiplicity 2)  8 Os 2.63-2.80, 4 Mg 2.76

Summary:
total magnetic moment: 0.000 μB per cell
total DFT energy (no corrections): -219.46 eV per cell
D(E_F): 0.809 states/eV per atom


5.
Entry from Alexandria: a PBEsol-optimized structure of ZnNiIr2 (meta-GGA SCAN).

Cell: 2.6962 2.6962 24.9743 Å, 90.00 90.00 120.00°
With the nearest neighbours (Å) after each atom.
Space group R-3m (No. 166, hexagonal axes)
One atom of each set of equivalent atoms:
Zn (0.0000, 0.0000, 0.0000) (multiplicity 3)  6 Ir 2.66, 6 Zn 2.70
Ni (0.0000, 0.0000, 0.5000) (multiplicity 3)  6 Ir 2.54, 6 Ni 2.70
Ir (0.0000, 0.0000, 0.2472) (multiplicity 6)  3 Ni 2.54, 3 Zn 2.66, 6 Ir 2.70

Summary:
total magnetic moment: 3.182 μB per cell
total DFT energy (no corrections): -516.55 eV per cell
D(E_F): 0.859 states/eV per atom


6.
Entry from Alexandria: a PBEsol-optimized structure of KNiBr2 (meta-GGA SCAN).

Cell: 12.4907 3.9765 5.0291 Å, 90.00 99.93 90.00°
With the nearest neighbours (Å) after each atom.
Space group Cm (No. 8)
One atom of each set of equivalent atoms:
K (0.0000, 0.0000, 0.0000) (multiplicity 2)  7 Br 3.22-3.45, 2 Ni 3.56
Ni (0.2979, 0.0000, 0.2320) (multiplicity 2)  3 Br 2.30-2.31
Br (0.2279, 0.5000, 0.0493) (multiplicity 2)  2 Ni 2.30
Br (0.4701, 0.0000, 0.4887) (multiplicity 2)  1 Ni 2.31

Summary:
E_form (uncorrected): -0.888 eV/atom
total magnetic moment: 2.000 μB per cell
total DFT energy (no corrections): -133.95 eV per cell


7.
Entry from Alexandria: a PBEsol-optimized structure of LaMn2Au (meta-GGA SCAN).

Cell: 3.1197 3.1197 7.3567 Å, 90.00 90.00 90.00°
With the nearest neighbours (Å) after each atom.
Space group P4mm (No. 99)
One atom of each set of equivalent atoms:
La (0.0000, 0.0000, 0.0000) (multiplicity 1)  4 La 3.12, 5 Mn 3.18-3.39, 4 Au 3.22
Mn (0.0000, 0.0000, 0.4606) (multiplicity 1)  4 Mn 2.46, 4 Au 2.74
Mn (0.5000, 0.5000, 0.3111) (multiplicity 1)  4 Mn 2.46, 1 Au 2.72
Au (0.5000, 0.5000, 0.6809) (multiplicity 1)  5 Mn 2.72-2.74

Summary:
total magnetic moment: 0.590 μB per cell
total DFT energy (no corrections): -149.97 eV per cell
D(E_F): 0.642 states/eV per atom


8.
Entry from Alexandria: a PBEsol-optimized structure of KNaBeTc2 (meta-GGA SCAN).

Cell: 4.1785 4.1785 5.6635 Å, 90.00 90.00 90.00°
With the nearest neighbours (Å) after each atom.
Space group P4/mmm (No. 123)
One atom of each set of equivalent atoms:
K (0.0000, 0.0000, 0.0000) (multiplicity 1)  2 Be 2.83, 4 Na 2.95
Na (0.5000, 0.5000, 0.0000) (multiplicity 1)  4 K 2.95
Be (0.0000, 0.0000, 0.5000) (multiplicity 1)  4 Tc 2.09
Tc (0.0000, 0.5000, 0.5000) (multiplicity 2)  2 Be 2.09

Summary:
total magnetic moment: 0.000 μB per cell
total DFT energy (no corrections): -80.76 eV per cell
D(E_F): 0.930 states/eV per atom